No. 1
## Ta3MnRe (PBE)

Data for a relaxed structure of Ta3MnRe.

Summary:
E_tot (eV per atom): -10.393
ΔE_f (eV/atom): 1.04
ΔE to the lowest computed polymorph (eV per atom): 0.000
SG: Pm-3m, No. 221

Cell lengths 4.5084, 4.5084, 4.5084 Å; angles 90.00, 90.00, 90.00 degrees
Closest atoms and distances in Å follow each position.
Sites, in units of the cell vectors:
Ta 0.0000 0.0000 0.5000  2 Mn 2.25
Ta 0.0000 0.5000 0.0000  2 Mn 2.25
Ta 0.5000 0.0000 0.0000  2 Mn 2.25
Mn 0.0000 0.0000 0.0000  6 Ta 2.25
Re 0.5000 0.5000 0.5000  12 Ta 3.19

No. 2
## Zn2TcPt (PBE)

Data for a relaxed structure of Zn2TcPt.

Summary:
E_tot (eV per atom): -4.832
ΔE_f (eV/atom): -0.09
ΔE to the lowest computed polymorph (eV per atom): 0.047
SG: Cm, No. 8

Cell lengths 4.7759, 4.7759, 4.7720 Å; angles 99.26, 99.26, 33.02 degrees
Closest atoms and distances in Å follow each position.
Sites, in units of the cell vectors:
Zn 0.0000 0.0000 0.0000  5 Zn 2.71-2.79, 4 Pt 2.74-2.75, 3 Tc 2.75
Zn 0.2451 0.2451 0.7505  5 Zn 2.71-2.79, 4 Tc 2.72-2.77, 3 Pt 2.75-2.76
Tc 0.7493 0.7493 0.2469  2 Tc 2.71, 3 Pt 2.72-2.80, 7 Zn 2.72-2.77
Pt 0.4943 0.4943 0.4997  2 Pt 2.71, 3 Tc 2.72-2.80, 7 Zn 2.74-2.76

No. 3
## La2DyGa4Pt3 (PBE)

Data for a relaxed structure of La2DyGa4Pt3.

Summary:
E_tot (eV per atom): -5.377
ΔE_f (eV/atom): -0.91
SG: P-4m2, No. 115

Cell lengths 4.2964, 4.2964, 11.6634 Å; angles 90.00, 90.00, 90.00 degrees
Closest atoms and distances in Å follow each position.
Sites, in units of the cell vectors:
La 0.0000 0.5000 0.2262  4 Pt 3.27, 8 Ga 3.30-3.40
La 0.5000 0.0000 0.7738  4 Pt 3.27, 8 Ga 3.30-3.40
Dy 0.0000 0.0000 0.5000  4 Ga 2.88, 4 Pt 3.04
Ga 0.0000 0.0000 0.0000  4 Pt 2.58
Ga 0.0000 0.5000 0.6641  1 Pt 2.49
Ga 0.5000 0.0000 0.3359  1 Pt 2.49
Ga 0.5000 0.5000 0.0000  4 Pt 2.58
Pt 0.0000 0.5000 0.8775  5 Ga 2.49-2.58
Pt 0.5000 0.0000 0.1225  5 Ga 2.49-2.58
Pt 0.5000 0.5000 0.5000  4 Ga 2.88, 4 Dy 3.04

No. 4
## Cd4In2Bi3 (PBE)

Data for a relaxed structure of Cd4In2Bi3.

Summary:
E_tot (eV per atom): -2.244
ΔE_f (eV/atom): 0.07
SG: C2/m, No. 12

Cell lengths 5.7468, 5.7468, 9.6659 Å; angles 112.05, 112.05, 60.88 degrees
Closest atoms and distances in Å follow each position.
Sites, in units of the cell vectors:
Cd 0.0082 0.0082 0.3333  2 In 3.02-3.25, 3 Bi 3.19-3.24, 2 Cd 3.29-3.30
Cd 0.3275 0.3275 0.9564  1 In 3.11, 4 Bi 3.14-3.45, 2 Cd 3.15-3.29
Cd 0.6725 0.6725 0.0436  1 In 3.11, 4 Bi 3.14-3.45, 2 Cd 3.15-3.29
Cd 0.9918 0.9918 0.6667  2 In 3.02-3.25, 3 Bi 3.19-3.24, 2 Cd 3.29-3.30
In 0.2988 0.2988 0.6232  3 Cd 3.02-3.25, 1 Bi 3.20
In 0.7012 0.7012 0.3768  3 Cd 3.02-3.25, 1 Bi 3.20
Bi 0.0000 0.0000 0.0000  8 Cd 3.19-3.45, 2 Bi 3.39
Bi 0.3510 0.3510 0.2912  3 Cd 3.14-3.24, 2 In 3.20-3.47, 1 Bi 3.39
Bi 0.6490 0.6490 0.7088  3 Cd 3.14-3.24, 2 In 3.20-3.47, 1 Bi 3.39

No. 5
## PuPt6 (PBE)

Data for a relaxed structure of PuPt6.

Summary:
E_tot (eV per atom): -6.266
ΔE_f (eV/atom): 0.96
ΔE to the lowest computed polymorph (eV per atom): 1.372
SG: Pm-3m, No. 221

Cell lengths 6.0834, 6.0834, 6.0834 Å; angles 90.00, 90.00, 90.00 degrees
Closest atoms and distances in Å follow each position.
Sites, in units of the cell vectors:
Pu 0.0000 0.0000 0.0000  24 Pt 4.46
Pt 0.1959 0.5000 0.5000  5 Pt 2.38-2.62
Pt 0.5000 0.1959 0.5000  5 Pt 2.38-2.62
Pt 0.5000 0.5000 0.1959  5 Pt 2.38-2.62
Pt 0.5000 0.5000 0.8041  5 Pt 2.38-2.62
Pt 0.5000 0.8041 0.5000  5 Pt 2.38-2.62
Pt 0.8041 0.5000 0.5000  5 Pt 2.38-2.62

No. 6
## Li4PRu (PBE)

Data for a relaxed structure of Li4PRu.

Summary:
E_tot (eV per atom): -3.604
ΔE_f (eV/atom): 0.12
SG: F-43m, No. 216

Cell lengths 4.6105, 4.6105, 4.6105 Å; angles 60.00, 60.00, 60.00 degrees
Closest atoms and distances in Å follow each position.
Sites, in units of the cell vectors:
Li 0.3760 0.3760 0.3760  6 Li 2.29-2.32
Li 0.3760 0.3760 0.8720  6 Li 2.29-2.32
Li 0.3760 0.8720 0.3760  6 Li 2.29-2.32
Li 0.8720 0.3760 0.3760  6 Li 2.29-2.32
P 0.0000 0.0000 0.0000  12 Li 2.71, 4 Ru 2.82
Ru 0.7500 0.7500 0.7500  12 Li 2.70, 4 P 2.82

No. 7
## SnSb3Br (PBE)

Data for a relaxed structure of SnSb3Br.

Summary:
E_tot (eV per atom): -2.791
ΔE to the lowest computed polymorph (eV per atom): 0.113
Formation energy (no corrections) (eV/atom): 0.817
SG: Pm-3m, No. 221

Cell lengths 5.5224, 5.5224, 5.5224 Å; angles 90.00, 90.00, 90.00 degrees
Closest atoms and distances in Å follow each position.
Sites, in units of the cell vectors:
Sn 0.0000 0.0000 0.0000  12 Sb 3.90
Sb 0.0000 0.5000 0.5000  2 Br 2.76
Sb 0.5000 0.0000 0.5000  2 Br 2.76
Sb 0.5000 0.5000 0.0000  2 Br 2.76
Br 0.5000 0.5000 0.5000  6 Sb 2.76

No. 8
## NaPmGdIn (PBE)

Data for a relaxed structure of NaPmGdIn.

Summary:
E_tot (eV per atom): -5.878
ΔE_f (eV/atom): -0.16
SG: F-43m, No. 216

Cell lengths 5.4793, 5.4793, 5.4793 Å; angles 60.00, 60.00, 60.00 degrees
Closest atoms and distances in Å follow each position.
Sites, in units of the cell vectors:
Na 0.0000 0.0000 0.0000  4 Gd 3.36, 4 Pm 3.36
Pm 0.2500 0.2500 0.2500  4 In 3.36, 4 Na 3.36
Gd 0.7500 0.7500 0.7500  4 In 3.36, 4 Na 3.36
In 0.5000 0.5000 0.5000  4 Gd 3.36, 4 Pm 3.36

| no. | total magnetization (μB/cell) | density of states at the Fermi level (states/eV per cell) |
| --- | --- | --- |
| 1 | 0.00 | 6.9 |
| 2 | 0.00 | 2.4 |
| 3 | 0.00 | 9.0 |
| 4 | 0.00 | 4.0 |
| 5 | 6.16 | 28.3 |
| 6 | 0.00 | 3.8 |
| 7 | 0.00 | 3.9 |
| 8 | 7.87 | 4.5 |